First-principles (PBE) data for an optimized crystal structure of Li2AcSbO, as listed in Alexandria via LeMat-Bulk.

```
Li2AcSbO
1.0
2.0494 -6.1190 0.0000
2.0494 6.1190 0.0000
0.0000 0.0000 7.5773
Li Ac Sb O
4 2 2 2
Direct
0.1538 0.8462 0.5553
0.1538 0.8462 0.9447
0.8462 0.1538 0.0553
0.8462 0.1538 0.4447
0.4543 0.5457 0.7500
0.5457 0.4543 0.2500
0.2727 0.7273 0.2500
0.7273 0.2727 0.7500
0.0000 0.0000 0.0000
0.0000 0.0000 0.5000
```

Results
- Size of the total moment: 0.00 μB/cell
- E_form (uncorrected): -1499 meV/atom
- Mass density: 6.62 g/cm3